Rb4Nd3ZnO8: optimized geometry, PBE.

## Properties
- total magnetic moment (μB/atom) = 0.07
- raw formation energy (eV per atom) = -2.091

```
data_Rb4Nd3ZnO8
_space_group_name_H-M_alt 'C 1 2/m 1'
_space_group_IT_number 12
_cell_length_a 12.771
_cell_length_b 7.050
_cell_length_c 7.679
_cell_angle_alpha 90.00
_cell_angle_beta 120.46
_cell_angle_gamma 90.00
loop_
_space_group_symop_operation_xyz
'x,y,z'
'-x,-y,-z'
'-x,y,-z'
'x,-y,z'
'x+1/2,y+1/2,z'
'-x+1/2,-y+1/2,-z'
'-x+1/2,y+1/2,-z'
'x+1/2,-y+1/2,z'
loop_
_atom_site_label
_atom_site_fract_x
_atom_site_fract_y
_atom_site_fract_z
_atom_site_occupancy
Rb1 0.000 0.000 0.000 1
Rb2 0.000 0.500 0.000 1
Rb3 0.250 0.250 0.000 1
Nd1 0.000 0.000 0.500 1
Nd2 0.250 0.250 0.500 1
Zn1 0.000 0.500 0.500 1
O1 0.026 0.277 0.336 1
O2 0.220 0.000 0.682 1
O3 0.238 0.000 0.286 1
```